DFT (PBE with a Hubbard U) results for crystalline PrPaFe2O8 at its relaxed geometry.

The space group is I-4m2 (No. 119) and the conventional cell measures 7.370, 7.370 and 6.453 Å, with angles of 90.00, 90.00 and 90.00 degrees. Symmetry generates all atoms from Pr at (0.000, 0.000, 0.000), Pa at (0.000, 0.500, 0.250), Fe at (0.000, 0.000, 0.500), Fe at (0.000, 0.500, 0.750), O at (0.000, 0.179, 0.328) and O at (0.000, 0.327, 0.967).

The value obtained for the total energy is -7.550 eV/atom.